Entry 1:
An optimized crystal structure of LiDy2Mg. Source: the Alexandria database, functional PBE.

CIF file:
```
data_LiDy2Mg
_cell_length_a 3.3603
_cell_length_b 3.3603
_cell_length_c 35.6399
_cell_angle_alpha 90.00
_cell_angle_beta 90.00
_cell_angle_gamma 120.00
_symmetry_space_group_name_H-M 'R -3 m'
_symmetry_Int_Tables_number 166
_symmetry_space_group_name_Hall '-R 3 2"'
loop_
_atom_site_label
_atom_site_type_symbol
_atom_site_fract_x
_atom_site_fract_y
_atom_site_fract_z
Li1 Li 0.0000 0.0000 0.0000
Dy1 Dy 0.0000 0.0000 0.0912
Mg1 Mg 0.0000 0.0000 0.5000
```

- raw total energy (eV/atom) = -2.98
- DFT formation energy (eV per atom) = 0.1942

Entry 2:
An optimized crystal structure of LiDy5Mg6. Source: the Alexandria database, functional PBE.

CIF file:
```
data_LiDy5Mg6
_cell_length_a 16.794
_cell_length_b 7.498
_cell_length_c 5.305
_cell_angle_alpha 90.00
_cell_angle_beta 108.22
_cell_angle_gamma 90.00
_symmetry_space_group_name_H-M 'C 1 2/m 1'
_symmetry_Int_Tables_number 12
loop_
_symmetry_equiv_pos_as_xyz
'x,y,z'
'-x,-y,-z'
'-x,y,-z'
'x,-y,z'
'x+1/2,y+1/2,z'
'-x+1/2,-y+1/2,-z'
'-x+1/2,y+1/2,-z'
'x+1/2,-y+1/2,z'
loop_
_atom_site_label
_atom_site_type_symbol
_atom_site_fract_x
_atom_site_fract_y
_atom_site_fract_z
Li1 Li 0.000 0.000 0.000
Dy1 Dy 0.000 0.500 0.000
Dy2 Dy 0.165 0.500 0.666
Dy3 Dy 0.182 0.000 0.684
Mg1 Mg 0.000 0.225 0.500
Mg2 Mg 0.156 0.229 0.158
```

- raw total energy (eV/atom) = -2.93
- DFT formation energy (eV per atom) = -0.0508

Entry 3:
An optimized crystal structure of LiDy6Mg. Source: the Alexandria database, functional PBE.

CIF file:
```
data_LiDy6Mg
_cell_length_a 6.187
_cell_length_b 6.200
_cell_length_c 6.208
_cell_angle_alpha 90.51
_cell_angle_beta 90.51
_cell_angle_gamma 90.02
_symmetry_space_group_name_H-M 'P -1'
_symmetry_Int_Tables_number 2
loop_
_symmetry_equiv_pos_as_xyz
'x,y,z'
'-x,-y,-z'
loop_
_atom_site_label
_atom_site_type_symbol
_atom_site_fract_x
_atom_site_fract_y
_atom_site_fract_z
Li1 Li 0.000 0.000 0.000
Dy1 Dy 0.022 0.479 0.251
Dy2 Dy 0.251 0.974 0.514
Dy3 Dy 0.484 0.252 0.973
Mg1 Mg 0.500 0.500 0.500
```

- raw total energy (eV/atom) = -3.74
- DFT formation energy (eV per atom) = 0.1532

Entry 4:
An optimized crystal structure of Li2DyMg2. Source: the Alexandria database, functional PBE.

CIF file:
```
data_Li2DyMg2
_cell_length_a 19.501
_cell_length_b 3.489
_cell_length_c 3.475
_cell_angle_alpha 90.00
_cell_angle_beta 100.12
_cell_angle_gamma 90.00
_symmetry_space_group_name_H-M 'C 1 2/m 1'
_symmetry_Int_Tables_number 12
loop_
_symmetry_equiv_pos_as_xyz
'x,y,z'
'-x,-y,-z'
'-x,y,-z'
'x,-y,z'
'x+1/2,y+1/2,z'
'-x+1/2,-y+1/2,-z'
'-x+1/2,y+1/2,-z'
'x+1/2,-y+1/2,z'
loop_
_atom_site_label
_atom_site_type_symbol
_atom_site_fract_x
_atom_site_fract_y
_atom_site_fract_z
Li1 Li 0.206 0.000 0.207
Dy1 Dy 0.000 0.000 0.000
Mg1 Mg 0.118 0.500 0.619
```

- raw total energy (eV/atom) = -2.36
- DFT formation energy (eV per atom) = -0.0361

Entry 5:
An optimized crystal structure of Li5DyMg5. Source: the Alexandria database, functional PBE.

CIF file:
```
data_Li5DyMg5
_cell_length_a 5.3171
_cell_length_b 5.3171
_cell_length_c 9.7545
_cell_angle_alpha 90.00
_cell_angle_beta 90.00
_cell_angle_gamma 120.00
_symmetry_space_group_name_H-M 'P -6 m 2'
_symmetry_Int_Tables_number 187
_symmetry_space_group_name_Hall 'P -6 2'
loop_
_atom_site_label
_atom_site_type_symbol
_atom_site_fract_x
_atom_site_fract_y
_atom_site_fract_z
Li1 Li 0.0000 0.0000 0.2348
Li2 Li 0.3418 0.1709 0.0000
Dy1 Dy 0.3333 0.6667 0.5000
Mg1 Mg 0.0000 0.0000 0.5000
Mg2 Mg 0.3333 0.6667 0.1650
Mg3 Mg 0.6667 0.3333 0.3259
```

- raw total energy (eV/atom) = -1.98
- DFT formation energy (eV per atom) = 0.0334

Entry 6:
An optimized crystal structure of Li3DyMg6. Source: the Alexandria database, functional PBE.

CIF file:
```
data_Li3DyMg6
_cell_length_a 9.114
_cell_length_b 4.847
_cell_length_c 10.235
_cell_angle_alpha 90.00
_cell_angle_beta 98.06
_cell_angle_gamma 90.00
_symmetry_space_group_name_H-M 'P 1 21/m 1'
_symmetry_Int_Tables_number 11
loop_
_symmetry_equiv_pos_as_xyz
'x,y,z'
'-x,-y,-z'
'-x,y+1/2,-z'
'x,-y+1/2,z'
loop_
_atom_site_label
_atom_site_type_symbol
_atom_site_fract_x
_atom_site_fract_y
_atom_site_fract_z
Li1 Li 0.052 0.250 0.396
Li2 Li 0.157 0.750 0.182
Li3 Li 0.246 0.250 0.969
Dy1 Dy 0.443 0.250 0.598
Mg1 Mg 0.030 0.750 0.899
Mg2 Mg 0.115 0.250 0.694
Mg3 Mg 0.220 0.750 0.475
Mg4 Mg 0.328 0.250 0.274
Mg5 Mg 0.334 0.750 0.785
Mg6 Mg 0.442 0.750 0.087
```

- raw total energy (eV/atom) = -2.03
- DFT formation energy (eV per atom) = -0.0437

Which of these has the highest DFT formation energy?
LiDy2Mg

What is the raw total energy in the sixth record?
-2.03 eV/atom

The lowest raw total energy belongs to which entry?
LiDy6Mg